Material: Pa2P7Ru12
Method: DFT, PBE
State: relaxed

The space group is P-6 (No. 174) and the conventional cell measures 9.5319, 9.5319 and 3.8631 Å, with angles of 90.00, 90.00 and 120.00 degrees. The distinct sites, in fractional coordinates, are Pa at (0.0000, 0.0000, 0.0000), Pa at (0.3333, 0.6667, 0.5000), P at (0.0732, 0.4435, 0.0000), P at (0.2665, 0.2220, 0.5000), P at (0.6667, 0.3333, 0.0000), Ru at (0.0504, 0.2708, 0.5000), Ru at (0.1096, 0.7037, 0.0000), Ru at (0.3962, 0.1815, 0.0000) and Ru at (0.5336, 0.4376, 0.5000).

The calculated total energy is -8.783 eV/atom.